# 1
First-principles (PBE) data for a relaxed structure of LaTeC3, as listed in the Alexandria database.

Unit cell a=4.5616 b=4.5616 c=4.5616 alpha=90.00 beta=90.00 gamma=90.00
Last column: nearest neighbours and their distance in Å.
Sites, in units of the cell vectors:
La1 0.0000 0.0000 0.0000  6 C 2.28
Te1 0.5000 0.5000 0.5000  12 C 3.23
C1 0.0000 0.0000 0.5000  2 La 2.28
C2 0.0000 0.5000 0.0000  2 La 2.28
C3 0.5000 0.0000 0.0000  2 La 2.28

Computed properties:
The total energy comes out at -21.90 eV for the cell shown. The calculation puts the uncorrected formation energy at 2.768 eV/atom. As for the offset from the most stable computed form: 1082 meV per atom. The volume comes out at 19.0 Å³ per atom.

# 2
First-principles (PBE) data for a relaxed structure of La12Te3C5, as listed in the Alexandria database.

Unit cell a=14.5157 b=14.5157 c=14.5157 alpha=109.47 beta=109.47 gamma=109.47
Last column: nearest neighbours and their distance in Å.
Sites, in units of the cell vectors:
La1 0.0166 0.2000 0.1123  2 C 2.44-2.70
La2 0.0166 0.3165 0.9043  2 C 2.44-2.70
La3 0.0877 0.7000 0.6835  2 C 2.44-2.70
La4 0.0877 0.8877 0.4043  2 C 2.44-2.70
La5 0.0957 0.6123 0.4123  2 C 2.44-2.70
La6 0.0957 0.9834 0.6835  2 C 2.44-2.70
La7 0.1123 0.0166 0.2000  2 C 2.44-2.70
La8 0.1123 0.5957 0.9123  2 C 2.44-2.70
La9 0.1835 0.2000 0.5877  2 C 2.44-2.70
La10 0.1835 0.4834 0.5957  2 C 2.44-2.70
La11 0.2000 0.1123 0.0166  2 C 2.44-2.70
La12 0.2000 0.5877 0.1835  2 C 2.44-2.70
La13 0.3000 0.3165 0.9123  2 C 2.44-2.70
La14 0.3000 0.4834 0.3877  2 C 2.44-2.70
La15 0.3165 0.9043 0.0166  2 C 2.44-2.70
La16 0.3165 0.9123 0.3000  2 C 2.44-2.70
La17 0.3877 0.3000 0.4834  2 C 2.44-2.70
La18 0.3877 0.5877 0.9043  2 C 2.44-2.70
La19 0.4043 0.0877 0.8877  2 C 2.44-2.70
La20 0.4043 0.8165 0.5166  2 C 2.44-2.70
La21 0.4123 0.0957 0.6123  2 C 2.44-2.70
La22 0.4123 0.8165 0.8000  2 C 2.44-2.70
La23 0.4834 0.3877 0.3000  2 C 2.44-2.70
La24 0.4834 0.5957 0.1835  2 C 2.44-2.70
La25 0.5166 0.4043 0.8165  2 C 2.44-2.70
La26 0.5166 0.6123 0.7000  2 C 2.44-2.70
La27 0.5877 0.1835 0.2000  2 C 2.44-2.70
La28 0.5877 0.9043 0.3877  2 C 2.44-2.70
La29 0.5957 0.1835 0.4834  2 C 2.44-2.70
La30 0.5957 0.9123 0.1123  2 C 2.44-2.70
La31 0.6123 0.4123 0.0957  2 C 2.44-2.70
La32 0.6123 0.7000 0.5166  2 C 2.44-2.70
La33 0.6835 0.0877 0.7000  2 C 2.44-2.70
La34 0.6835 0.0957 0.9834  2 C 2.44-2.70
La35 0.7000 0.5166 0.6123  2 C 2.44-2.70
La36 0.7000 0.6835 0.0877  2 C 2.44-2.70
La37 0.8000 0.4123 0.8165  2 C 2.44-2.70
La38 0.8000 0.8877 0.9834  2 C 2.44-2.70
La39 0.8165 0.5166 0.4043  2 C 2.44-2.70
La40 0.8165 0.8000 0.4123  2 C 2.44-2.70
La41 0.8877 0.4043 0.0877  2 C 2.44-2.70
La42 0.8877 0.9834 0.8000  2 C 2.44-2.70
La43 0.9043 0.0166 0.3165  2 C 2.44-2.70
La44 0.9043 0.3877 0.5877  2 C 2.44-2.70
La45 0.9123 0.1123 0.5957  2 C 2.44-2.70
La46 0.9123 0.3000 0.3165  2 C 2.44-2.70
La47 0.9834 0.6835 0.0957  2 C 2.44-2.70
La48 0.9834 0.8000 0.8877  2 C 2.44-2.70
Te1 0.1250 0.2500 0.3750  8 La 3.31-3.39
Te2 0.1250 0.3750 0.7500  8 La 3.31-3.39
Te3 0.2500 0.3750 0.1250  8 La 3.31-3.39
Te4 0.2500 0.8750 0.6250  8 La 3.31-3.39
Te5 0.3750 0.1250 0.2500  8 La 3.31-3.39
Te6 0.3750 0.7500 0.1250  8 La 3.31-3.39
Te7 0.6250 0.2500 0.8750  8 La 3.31-3.39
Te8 0.6250 0.8750 0.7500  8 La 3.31-3.39
Te9 0.7500 0.1250 0.3750  8 La 3.31-3.39
Te10 0.7500 0.6250 0.8750  8 La 3.31-3.39
Te11 0.8750 0.6250 0.2500  8 La 3.31-3.39
Te12 0.8750 0.7500 0.6250  8 La 3.31-3.39
C1 0.0000 0.0000 0.0000  6 La 2.70
C2 0.0000 0.0000 0.5000  6 La 2.70
C3 0.0000 0.5000 0.0000  6 La 2.70
C4 0.0000 0.5000 0.5000  6 La 2.70
C5 0.1250 0.7500 0.8750  4 La 2.44
C6 0.1250 0.8750 0.2500  4 La 2.44
C7 0.2500 0.1250 0.8750  4 La 2.44
C8 0.2500 0.6250 0.3750  4 La 2.44
C9 0.3750 0.2500 0.6250  4 La 2.44
C10 0.3750 0.6250 0.7500  4 La 2.44
C11 0.5000 0.0000 0.0000  6 La 2.70
C12 0.5000 0.0000 0.5000  6 La 2.70
C13 0.5000 0.5000 0.0000  6 La 2.70
C14 0.5000 0.5000 0.5000  6 La 2.70
C15 0.6250 0.3750 0.2500  4 La 2.44
C16 0.6250 0.7500 0.3750  4 La 2.44
C17 0.7500 0.3750 0.6250  4 La 2.44
C18 0.7500 0.8750 0.1250  4 La 2.44
C19 0.8750 0.1250 0.7500  4 La 2.44
C20 0.8750 0.2500 0.1250  4 La 2.44

Computed properties:
The total energy comes out at -491.34 eV for the cell shown. The calculation puts the uncorrected formation energy at -0.408 eV/atom. The volume comes out at 29.4 Å³ per atom.

# 3
First-principles (PBE) data for a relaxed structure of LaTe2C2, as listed in the Alexandria database.

Unit cell a=7.6612 b=7.6612 c=3.6094 alpha=90.00 beta=90.00 gamma=90.00
Last column: nearest neighbours and their distance in Å.
Sites, in units of the cell vectors:
La1 0.0000 0.0000 0.0000  4 C 2.73
La2 0.5000 0.5000 0.0000  4 C 2.73
Te1 0.1605 0.3395 0.5000  2 C 2.22
Te2 0.3395 0.8395 0.5000  2 C 2.22
Te3 0.6605 0.1605 0.5000  2 C 2.22
Te4 0.8395 0.6605 0.5000  2 C 2.22
C1 0.2203 0.7203 0.0000  2 Te 2.22
C2 0.2797 0.2203 0.0000  2 Te 2.22
C3 0.7203 0.7797 0.0000  2 Te 2.22
C4 0.7797 0.2797 0.0000  2 Te 2.22

Computed properties:
The total energy comes out at -52.24 eV for the cell shown. The calculation puts the uncorrected formation energy at 0.708 eV/atom. As for the offset from the most stable computed form: 452 meV per atom. The volume comes out at 21.2 Å³ per atom.

Which of these has the highest volume? La12Te3C5